This record from Alexandria via LeMat-Bulk describes FeH12C8S2N2O2 after structural relaxation. The functional is GGA+U.

Unit cell a=5.8170 b=7.9276 c=8.2403 alpha=106.96 beta=102.08 gamma=94.62
Fractional positions:
Fe: 0.0000 0.0000 0.0000
H: 0.0350 0.5136 0.7400
H: 0.1209 0.6496 0.4573
H: 0.1748 0.3278 0.6477
H: 0.3859 0.5798 0.2030
H: 0.4114 0.7761 0.1339
H: 0.4622 0.7923 0.3610
H: 0.5378 0.2077 0.6390
H: 0.5886 0.2239 0.8661
H: 0.6141 0.4202 0.7970
H: 0.8252 0.6722 0.3523
H: 0.8791 0.3504 0.5427
H: 0.9650 0.4864 0.2600
C: 0.0056 0.3694 0.6683
C: 0.0992 0.7287 0.2276
C: 0.3547 0.7193 0.2276
C: 0.4094 0.8341 0.8148
C: 0.5906 0.1659 0.1852
C: 0.6453 0.2807 0.7724
C: 0.9008 0.2713 0.7724
C: 0.9944 0.6306 0.3317
S: 0.3550 0.2099 0.2585
S: 0.6450 0.7901 0.7415
N: 0.2372 0.8644 0.8667
N: 0.7628 0.1356 0.1333
O: 0.0258 0.1879 0.8537
O: 0.9742 0.8121 0.1463

## Properties
The value obtained for the magnetization is 0.147 μB/atom. The value obtained for the total energy is -5.969 eV/atom. The calculation puts the volume at 13.012 Å³/atom.